[1]
Below is an optimized crystal structure of HfCoIO2, with properties calculated at the PBE with a Hubbard U level.

a = 4.0406 Å, b = 4.0406 Å, c = 4.8835 Å
α = 90.00°, β = 90.00°, γ = 90.00°
Last column: magnetic moment on the atom in μB.
Fractional coordinates of all 5 atoms:
I: 0.0000 0.0000 0.5000  0.01
Hf: 0.5000 0.5000 0.5000  -0.16
Co: 0.0000 0.0000 0.0000  2.38
O: 0.0000 0.5000 0.0000  0.09
O: 0.5000 0.0000 0.0000  0.09

Computed properties:
Fermi-level density of states: 0.50 states/eV/atom
symmetry: P4/mmm (123)
electronic total energy: -5.324 eV per atom

[2]
Below is an optimized crystal structure of Mg2Mn3O8, with properties calculated at the PBE with a Hubbard U level.

a = 5.7763 Å, b = 5.7768 Å, c = 4.9616 Å
α = 78.00°, β = 102.00°, γ = 119.90°
Last column: magnetic moment on the atom in μB.
Fractional coordinates of all 13 atoms:
O: 0.6584 0.8892 0.6252  -0.08
O: 0.1108 0.3416 0.6251  -0.08
Mg: 0.7128 0.2872 0.6114  0.01
Mg: 0.2872 0.7127 0.3885  0.01
O: 0.8981 0.1019 0.1197  -0.11
O: 0.8892 0.6584 0.3749  -0.08
Mn: 0.0000 0.0000 0.5000  3.19
O: 0.6060 0.3940 0.9067  -0.04
O: 0.3416 0.1108 0.3748  -0.08
Mn: 0.7432 0.7432 0.0000  3.16
O: 0.1019 0.8981 0.8803  -0.11
Mn: 0.2568 0.2568 0.0000  3.16
O: 0.3939 0.6060 0.0933  -0.04

Computed properties:
Fermi-level density of states: 0.00 states/eV/atom
symmetry: C2/m (12)
electronic total energy: -6.833 eV per atom

| no. | distance to the lowest polymorph of the same formula (meV/atom) |
| --- | --- |
| 1 | 1390 |
| 2 | 0 |